SrTaBr2 | PBE | optimized geometry

Lattice parameters (Å, degrees): 5.5273 5.5273 5.5273 60.00 60.00 60.00
Last column: nearest neighbours and their distance in Å.
Element x y z (fractional)
Sr: 0.0000 0.0000 0.0000  4 Br 3.38, 4 Ta 3.38
Ta: 0.2500 0.2500 0.2500  4 Br 3.38, 4 Sr 3.38
Br: 0.5000 0.5000 0.5000  4 Br 3.38, 4 Ta 3.38
Br: 0.7500 0.7500 0.7500  4 Br 3.38, 4 Sr 3.38

Summary:
- Volume: 119.4 Å³ per cell
- SG: No. 216
- Electronic total energy: -3.7458 eV/atom
- Total moment: 4.9 μB/cell
- E_form (uncorrected): 0.47 eV per atom